{"formula": "CsVF3", "functional": "GGA+U", "state": "relaxed", "cell": [[5.350, -2.160, 0.000], [5.350, 2.160, 0.000], [-2.125, 0.000, 8.313]], "species": ["Cs", "Cs", "V", "V", "F", "F", "F", "F", "F", "F"], "fractional_positions": [[0.106, 0.106, 0.364], [0.894, 0.894, 0.636], [0.369, 0.369, 0.072], [0.631, 0.631, 0.928], [0.162, 0.162, 0.954], [0.366, 0.366, 0.316], [0.426, 0.426, 0.852], [0.574, 0.574, 0.148], [0.634, 0.634, 0.684], [0.838, 0.838, 0.046]], "total_energy_ev_per_atom": -5.44}